Record 1
LiPrSmS3 after structural relaxation, computed with PBE.

```
LiPrSmS3
1.0
-3.0022 -1.0554 2.2768
-2.5162 -5.3723 -5.8082
5.2568 -4.8167 4.6991
S Sm Li Pr
6 2 2 2
direct
0.2500 0.5773 0.8279
0.2500 0.0973 0.8661
0.7500 0.2071 0.4953
0.2500 0.7929 0.5047
0.7500 0.9027 0.1339
0.7500 0.4227 0.1721
0.7500 0.3391 0.8318
0.2500 0.6609 0.1682
0.7500 0.9138 0.4154
0.2500 0.0862 0.5846
0.2500 0.1829 0.2198
0.7500 0.8171 0.7802
```

Properties
E_tot: -69.49 eV per cell
Total magnetic moment: 0.000 μB per cell
Space-group type: P2_1/m (11)

***

Record 2
LiLa2 after structural relaxation, computed with PBE.

```
LiLa2
1.0
1.8448 6.4933 -0.0439
-1.8448 6.4933 -0.0439
0.0000 2.5933 7.9501
La Li
4 2
direct
0.6697 0.6697 0.6107
0.3598 0.3598 0.2979
0.3607 0.3607 0.7675
0.0307 0.0307 0.9700
0.6988 0.6988 0.1293
0.0470 0.0470 0.3913
```

Properties
Distance to the lowest polymorph of the same formula: 33 meV per atom
Total magnetic moment: 0.000 μB per cell
Space-group type: Cm (8)

***

Record 3
FeSiBiP2 after structural relaxation, computed with PBE.

```
FeSiBiP2
1.0
-2.2769 3.7760 -0.4055
-2.8795 -2.1646 -3.9882
-2.9655 -1.4724 2.9403
Bi Fe P Si
1 1 2 1
direct
0.0000 0.5000 0.0000
0.5000 0.5000 0.5000
0.5000 0.0000 0.0000
0.0000 0.0000 0.5000
0.0000 0.0000 0.0000
```

Properties
E_tot: -22.03 eV per cell
Total magnetic moment: 0.174 μB per cell
Space-group type: P4/mmm (123)

***

Record 4
CaTbCdHg after structural relaxation, computed with PBE.

```
CaTbCdHg
1.0
5.3268 0.0000 0.0000
2.6634 4.6131 0.0000
2.6634 1.5377 4.3493
Ca Cd Hg Tb
1 1 1 1
direct
0.7500 0.7500 0.7500
0.0000 0.0000 0.0000
0.5000 0.5000 0.5000
0.2500 0.2500 0.2500
```

Properties
E_tot: -9.59 eV per cell
Total magnetic moment: 0.000 μB per cell
Space-group type: F-43m (216)

***

Record 5
SmHoTm after structural relaxation, computed with PBE.

```
SmHoTm
1.0
3.4429 0.0000 0.0000
0.0000 5.6247 0.0000
0.0000 -2.8123 4.8711
Tm Ho Sm
1 1 1
direct
0.1676 0.0000 0.0000
0.1658 0.3333 0.6667
0.6666 0.6667 0.3333
```

Properties
Distance to the lowest polymorph of the same formula: 67 meV per atom
Total magnetic moment: 0.000 μB per cell
Space-group type: P3m1 (156)

***

Record 6
CdBr4 after structural relaxation, computed with PBE.

```
CdBr4
1.0
-4.7963 4.7963 1.8703
4.7963 -4.7963 1.8703
4.7963 4.7963 -1.8703
Cd Br
1 4
direct
0.0000 0.0000 0.0000
0.7147 0.3921 0.1068
0.6079 0.7147 0.3226
0.2853 0.6079 0.8932
0.3921 0.2853 0.6774
```

Properties
E_tot: -7.96 eV per cell
Total magnetic moment: 2.008 μB per cell
Space-group type: I4/m (87)

***

Record 7
LaY2Ho5 after structural relaxation, computed with PBE.

```
LaY2Ho5
1.0
7.1367 0.0000 0.0000
0.0000 7.1382 0.0000
0.0000 0.0000 20.1050
Ho Y La
20 8 4
direct
0.2525 0.5003 0.7504
0.0000 0.2484 0.1256
0.2521 0.0000 0.0000
0.0000 0.2516 0.6256
0.5000 0.7514 0.8746
0.2521 0.5000 0.5000
0.2525 0.4997 0.2496
0.7479 0.0000 0.0000
0.7479 0.5000 0.5000
0.2525 0.9997 0.2504
0.7475 0.4997 0.2496
0.2525 0.0003 0.7496
0.0000 0.7516 0.8744
0.5000 0.2486 0.1254
0.5000 0.7486 0.3746
0.7475 0.0003 0.7496
0.7475 0.5003 0.7504
0.7475 0.9997 0.2504
0.5000 0.2514 0.6254
0.0000 0.7484 0.3744
0.5000 0.7510 0.1254
0.7479 0.5000 0.0000
0.5000 0.2490 0.8746
0.2521 0.5000 0.0000
0.5000 0.7490 0.6254
0.5000 0.2510 0.3746
0.2521 0.0000 0.5000
0.7479 0.0000 0.5000
0.0000 0.7518 0.1259
0.0000 0.2518 0.3741
0.0000 0.7482 0.6259
0.0000 0.2482 0.8741
```

Properties
E_tot: -162.17 eV per cell
Total magnetic moment: 0.000 μB per cell
Space-group type: Pbam (55)

***

Record 8
Y2Tc2Hg after structural relaxation, computed with PBE.

```
Y2Tc2Hg
1.0
7.0943 0.0000 0.0000
0.0000 7.0943 0.0000
0.0000 0.0000 4.4022
Tc Y Hg
4 4 2
direct
0.3851 0.8851 0.0000
0.1149 0.3851 0.0000
0.6149 0.1149 0.0000
0.8851 0.6149 0.0000
0.3221 0.1779 0.5000
0.6779 0.8221 0.5000
0.1779 0.6779 0.5000
0.8221 0.3221 0.5000
0.5000 0.5000 0.0000
0.0000 0.0000 0.0000
```

Properties
E_tot: -68.56 eV per cell
Total magnetic moment: 1.139 μB per cell
Space-group type: P4/mbm (127)

***

Record 9
NpTi3 after structural relaxation, computed with PBE.

```
NpTi3
1.0
-2.1287 -4.1535 -1.1265
2.0521 -0.5717 -1.7700
2.6982 -2.4456 3.9181
Ti Np
3 1
direct
0.0000 0.5000 0.4670
0.5000 0.5000 0.2011
0.5000 0.0000 0.7057
0.0000 0.0000 0.9595
```

Properties
Distance to the lowest polymorph of the same formula: 13 meV per atom
Total magnetic moment: 2.204 μB per cell
Space-group type: Pmm2 (25)

***

Record 10
Cu5Pd2Pt5 after structural relaxation, computed with PBE.

```
Cu5Pd2Pt5
1.0
-1.8600 2.8245 1.6920
-5.3449 2.4610 -5.7580
-3.9590 -2.4509 3.9650
Cu Pt Pd
5 5 2
direct
0.0000 0.5000 0.5000
0.3339 0.2477 0.0846
0.6661 0.7523 0.9154
0.6676 0.9989 0.6659
0.3324 0.0011 0.3341
0.6699 0.2464 0.4138
0.0027 0.2426 0.7519
0.3301 0.7536 0.5862
0.0000 0.0000 0.0000
0.9973 0.7574 0.2481
0.6646 0.4977 0.1732
0.3354 0.5023 0.8268
```

Properties
E_tot: -62.37 eV per cell
Total magnetic moment: 0.000 μB per cell
Space-group type: C2/m (12)

***

Record 11
AlGaBi2 after structural relaxation, computed with PBE.

```
AlGaBi2
1.0
-4.2505 0.3849 1.2417
-1.6905 -2.7783 3.0298
-0.2051 3.3477 6.2158
Ga Bi Al
1 2 1
direct
0.5001 0.5001 0.4997
0.2564 0.2564 0.2308
0.0764 0.0764 0.7708
0.6671 0.6671 0.9988
```

Properties
E_tot: -13.87 eV per cell
Total magnetic moment: 0.000 μB per cell
Space-group type: R3m (160)

***

Record 12
K3YHo2O6 after structural relaxation, computed with PBE.

```
K3YHo2O6
1.0
6.0143 -0.0009 0.0003
-3.0064 5.2089 0.0003
-1.0030 -1.7366 6.2583
K O Y Ho
3 6 1 2
direct
0.5000 0.5000 0.5000
0.8331 0.1669 0.5000
0.1669 0.8331 0.5000
0.3970 0.0617 0.1850
0.6030 0.9383 0.8150
0.7264 0.7264 0.1851
0.0617 0.3970 0.1850
0.9383 0.6030 0.8150
0.2736 0.2736 0.8149
0.0000 0.0000 0.0000
0.6667 0.3333 0.0000
0.3333 0.6667 0.0000
```

Properties
E_tot: -81.91 eV per cell
Total magnetic moment: 0.000 μB per cell
Space-group type: C2/m (12)